The following is a DFT calculation (GGA-PBEsol) of an optimized crystal structure of SrLiPb2.

Geometry as extended XYZ:
```
4
Lattice="5.489 0.000 0.000 2.744 4.753 0.000 2.744 1.584 4.482" Properties=species:S:1:pos:R:3 pbc="T T T"
Sr 2.744 1.584 1.120
Pb 0.000 0.000 0.000
Li 5.489 3.169 2.241
Pb 8.233 4.753 3.361
```

energy of formation	-0.295	eV/atom
SG	F-43m (216)
E	-3.246	eV per atom